1.
DFT (PBE) results for crystalline AuS2F at its relaxed geometry.

Geometry as CIF:
```
data_AuS2F
_cell_length_a 8.878
_cell_length_b 8.878
_cell_length_c 8.878
_cell_angle_alpha 18.17
_cell_angle_beta 18.17
_cell_angle_gamma 18.17
_space_group_name_H-M_alt 'P 1'
_space_group_IT_number 1
_space_group_name_Hall 'P 1'
loop_
_atom_site_label
_atom_site_type_symbol
_atom_site_fract_x
_atom_site_fract_y
_atom_site_fract_z
_atom_site_occupancy
Au1 Au 0.000 0.000 0.000 1
S1 S 0.092 0.092 0.092 1
S2 S 0.908 0.908 0.908 1
F1 F 0.500 0.500 0.500 1
```

Output
* total DFT energy (no corrections): -3.042 eV/atom
* formation energy from raw total energies: 0.31 eV per atom

2.
DFT (PBE) results for crystalline AuSF2 at its relaxed geometry.

Geometry as CIF:
```
data_AuSF2
_cell_length_a 8.738
_cell_length_b 8.738
_cell_length_c 8.738
_cell_angle_alpha 18.87
_cell_angle_beta 18.87
_cell_angle_gamma 18.87
_space_group_name_H-M_alt 'P 1'
_space_group_IT_number 1
_space_group_name_Hall 'P 1'
loop_
_atom_site_label
_atom_site_type_symbol
_atom_site_fract_x
_atom_site_fract_y
_atom_site_fract_z
_atom_site_occupancy
Au1 Au 0.000 0.000 0.000 1
S1 S 0.500 0.500 0.500 1
F1 F 0.077 0.077 0.077 1
F2 F 0.923 0.923 0.923 1
```

Output
* total DFT energy (no corrections): -2.961 eV/atom
* formation energy from raw total energies: -0.17 eV per atom

3.
DFT (PBE) results for crystalline Au2SF at its relaxed geometry.

Geometry as CIF:
```
data_Au2SF
_cell_length_a 7.289
_cell_length_b 7.289
_cell_length_c 7.289
_cell_angle_alpha 137.41
_cell_angle_beta 137.41
_cell_angle_gamma 61.81
_space_group_name_H-M_alt 'P 1'
_space_group_IT_number 1
_space_group_name_Hall 'P 1'
loop_
_atom_site_label
_atom_site_type_symbol
_atom_site_fract_x
_atom_site_fract_y
_atom_site_fract_z
_atom_site_occupancy
Au1 Au 0.091 0.625 0.966 1
Au2 Au 0.375 0.341 0.466 1
Au3 Au 0.659 0.125 0.034 1
Au4 Au 0.875 0.909 0.534 1
S1 S 0.000 0.000 0.000 1
S2 S 0.750 0.250 0.500 1
F1 F 0.250 0.750 0.500 1
F2 F 0.500 0.500 0.000 1
```

Output
* total DFT energy (no corrections): -3.253 eV/atom
* formation energy from raw total energies: -0.11 eV per atom